Crystalline KCoOF2 at its relaxed geometry. Source: the Alexandria database, functional GGA+U.

extended XYZ file:
```
5
Lattice="4.575 0.000 0.000 0.000 4.575 0.000 0.000 0.000 4.255" Properties=species:S:1:pos:R:3 pbc="T T T"
K 0.000 0.000 0.000
Co 2.287 2.287 2.128
O 0.000 0.000 2.128
F 0.000 2.287 0.000
F 2.287 0.000 0.000
```

Output
Excess energy over the best structure of this formula in the dataset ... 1.719 eV/atom
Fermi-level density of states ... 1.03 states/eV per cell
ρ ... 2.835 g cm⁻³
M_tot ... 3.021 μB per cell